(1)
## Tb2Al3Cu12Ni (PBE)

Data for a relaxed structure of Tb2Al3Cu12Ni.

The crystal system is trigonal. The calculation puts the formation energy at 4.8 kJ per mole of atoms.

The space group is R-3m (No. 166, hexagonal axes) and the conventional cell measures 5.2453, 5.2453 and 35.3078 Å, with angles of 90.00, 90.00 and 120.00 degrees. The inequivalent atoms are Tb at (0.0000, 0.0000, 0.1447), Al at (0.0000, 0.5000, 0.0000), Cu at (0.0026, 0.5013, 0.1110), Cu at (0.0155, 0.5078, 0.6103) and Ni at (0.0000, 0.0000, 0.5000).


(2)
## Ce2Tl5Cl12 (PBE)

Data for a relaxed structure of Ce2Tl5Cl12.

The crystal system is monoclinic. The value obtained for the raw formation energy is -1.50 eV per atom.

The space group is C2/m (No. 12) and the conventional cell measures 17.5142, 8.3948 and 10.4627 Å, with angles of 90.00, 109.41 and 90.00 degrees. The inequivalent atoms are Ce at (0.0000, 0.2500, 0.0000), Tl at (0.0000, 0.0000, 0.5000), Tl at (0.1790, 0.5000, 0.7644), Tl at (0.2187, 0.5000, 0.3810), Cl at (0.0064, 0.5000, 0.1769), Cl at (0.0067, 0.0000, 0.1752), Cl at (0.1446, 0.2547, 0.5518) and Cl at (0.1560, 0.2572, 0.0716).


(3)
## PrNdSi2Pt5 (PBE)

Data for a relaxed structure of PrNdSi2Pt5.

The crystal system is tetragonal. The value obtained for the raw formation energy is -1.02 eV per atom.

The space group is P4/mmm (No. 123) and the conventional cell measures 4.2871, 4.2871 and 9.0315 Å, with angles of 90.00, 90.00 and 90.00 degrees. The inequivalent atoms are Pr at (0.0000, 0.0000, 0.0000), Nd at (0.0000, 0.0000, 0.5000), Si at (0.5000, 0.5000, 0.3650), Pt at (0.0000, 0.5000, 0.2381) and Pt at (0.5000, 0.5000, 0.0000).


(4)
## CsAcRhO4 (PBE)

Data for a relaxed structure of CsAcRhO4.

The crystal system is monoclinic. The value obtained for the raw formation energy is -1.69 eV per atom.

The space group is P2_1/m (No. 11) and the conventional cell measures 6.3442, 5.6866 and 8.7856 Å, with angles of 90.00, 94.94 and 90.00 degrees. The inequivalent atoms are Cs at (0.2110, 0.2500, 0.1338), Ac at (0.2720, 0.7500, 0.4767), Rh at (0.2434, 0.2500, 0.6872), O at (0.0093, 0.7500, 0.2201), O at (0.1207, 0.2500, 0.4760) and O at (0.4726, 0.0222, 0.6719).


no.,N(E_F) (states/eV/cell),VASP energy (eV/atom)
1,36.3,-4.141
2,15.8,-3.916
3,4.2,-6.640
4,5.0,-6.286